(1)
This record from Alexandria via LeMat-Bulk describes a relaxed Al2AgMo crystal. The functional is PBEsol.

Values from the calculation:
* spin magnetization: 0.00 μB/atom
* Fermi-level density of states: 5.245 states/eV per cell
* ΔE_f: -0.4 kJ per mole of atoms

Cell and atoms, written as CIF:
```
data_Al2AgMo
_space_group_name_H-M_alt 'I m m 2'
_space_group_IT_number 44
_cell_length_a 2.9618
_cell_length_b 4.4083
_cell_length_c 9.4263
_cell_angle_alpha 90.00
_cell_angle_beta 90.00
_cell_angle_gamma 90.00
loop_
_space_group_symop_operation_xyz
'x,y,z'
'-x,-y,z'
'-x,y,z'
'x,-y,z'
'x+1/2,y+1/2,z+1/2'
'-x+1/2,-y+1/2,z+1/2'
'-x+1/2,y+1/2,z+1/2'
'x+1/2,-y+1/2,z+1/2'
loop_
_atom_site_label
_atom_site_fract_x
_atom_site_fract_y
_atom_site_fract_z
_atom_site_occupancy
Al1 0.0000 0.0000 0.0000 1
Al2 0.0000 0.5000 0.2420 1
Ag1 0.0000 0.0000 0.5015 1
Mo1 0.0000 0.5000 0.7429 1
```

***

(2)
This record from Alexandria via LeMat-Bulk describes a relaxed TlCuPb2 crystal. The functional is PBEsol.

Values from the calculation:
* spin magnetization: 0.00 μB/atom
* Fermi-level density of states: 4.305 states/eV per cell
* ΔE_f: 30.6 kJ per mole of atoms

Cell and atoms, written as CIF:
```
data_TlCuPb2
_space_group_name_H-M_alt 'F -4 3 m'
_space_group_IT_number 216
_space_group_name_Hall 'F -4 2 3'
_cell_length_a 7.3700
_cell_length_b 7.3700
_cell_length_c 7.3700
_cell_angle_alpha 90.00
_cell_angle_beta 90.00
_cell_angle_gamma 90.00
loop_
_atom_site_label
_atom_site_fract_x
_atom_site_fract_y
_atom_site_fract_z
_atom_site_occupancy
Tl1 0.0000 0.0000 0.0000 1
Cu1 0.2500 0.2500 0.2500 1
Pb1 0.0000 0.0000 0.5000 1
Pb2 0.2500 0.2500 0.7500 1
```